Entry 1:
Entry from Alexandria: crystalline BaSb2Pd at its relaxed geometry (PBE).

```
BaSb2Pd
1.0
4.916 0.000 0.000
0.000 5.040 0.000
-2.449 0.000 9.351
Ba Sb Pd
2 4 2
direct
0.107 0.250 0.214
0.893 0.750 0.786
0.252 0.750 0.504
0.459 0.250 0.917
0.541 0.750 0.083
0.748 0.250 0.496
0.314 0.250 0.628
0.686 0.750 0.372
```

## Properties
VASP energy (eV/atom): -4.648
Magnetic moment (μB per formula unit): 0.0


Entry 2:
Entry from Alexandria: crystalline BaSb2Pd4 at its relaxed geometry (PBE).

```
BaSb2Pd4
1.0
8.524 0.000 0.000
0.000 8.524 0.000
0.000 0.000 4.136
Ba Sb Pd
2 4 8
direct
0.000 0.000 0.000
0.500 0.500 0.500
0.223 0.223 0.500
0.277 0.723 0.000
0.723 0.277 0.000
0.777 0.777 0.500
0.084 0.652 0.500
0.152 0.416 0.000
0.348 0.916 0.500
0.416 0.152 0.000
0.584 0.848 0.000
0.652 0.084 0.500
0.848 0.584 0.000
0.916 0.348 0.500
```

## Properties
VASP energy (eV/atom): -5.017
Magnetic moment (μB per formula unit): 0.0


Entry 3:
Entry from Alexandria: crystalline Ba2Sb3Pd4 at its relaxed geometry (PBE).

```
Ba2Sb3Pd4
1.0
3.334 -8.376 0.000
3.334 8.376 0.000
0.000 0.000 7.723
Ba Sb Pd
4 6 8
direct
0.102 0.898 0.914
0.398 0.602 0.414
0.602 0.398 0.586
0.898 0.102 0.086
0.000 0.000 0.500
0.012 0.488 0.750
0.488 0.012 0.250
0.500 0.500 0.000
0.512 0.988 0.750
0.988 0.512 0.250
0.174 0.826 0.502
0.177 0.323 0.750
0.323 0.177 0.250
0.326 0.674 0.002
0.674 0.326 0.998
0.677 0.823 0.750
0.823 0.677 0.250
0.826 0.174 0.498
```

## Properties
VASP energy (eV/atom): -4.796
Magnetic moment (μB per formula unit): 0.0


Entry 4:
Entry from Alexandria: crystalline Ba3Sb2Pd6 at its relaxed geometry (PBE).

```
Ba3Sb2Pd6
1.0
-5.110 5.110 5.110
5.110 -5.110 5.110
5.110 5.110 -5.110
Ba Sb Pd
6 4 12
direct
0.000 0.294 0.294
0.000 0.706 0.706
0.294 0.000 0.294
0.294 0.294 0.000
0.706 0.000 0.706
0.706 0.706 0.000
0.000 0.000 0.500
0.000 0.500 0.000
0.500 0.000 0.000
0.500 0.500 0.500
0.000 0.328 0.672
0.000 0.672 0.328
0.328 0.000 0.672
0.328 0.328 0.656
0.328 0.656 0.328
0.328 0.672 0.000
0.344 0.672 0.672
0.656 0.328 0.328
0.672 0.000 0.328
0.672 0.328 0.000
0.672 0.344 0.672
0.672 0.672 0.344
```

## Properties
VASP energy (eV/atom): -4.721
Magnetic moment (μB per formula unit): 0.3


Entry 5:
Entry from Alexandria: crystalline BaSb2Pd6 at its relaxed geometry (PBE).

```
BaSb2Pd6
1.0
4.721 0.000 0.000
0.000 4.721 0.000
0.000 0.000 8.569
Ba Sb Pd
1 2 6
direct
0.000 0.000 0.000
0.500 0.500 0.184
0.500 0.500 0.816
0.000 0.000 0.500
0.000 0.500 0.324
0.000 0.500 0.676
0.500 0.000 0.324
0.500 0.000 0.676
0.500 0.500 0.500
```

## Properties
VASP energy (eV/atom): -5.021
Magnetic moment (μB per formula unit): 0.0


Entry 6:
Entry from Alexandria: crystalline BaSb2Pd2 at its relaxed geometry (PBE).

```
BaSb2Pd2
1.0
8.444 0.000 0.000
0.000 8.444 0.000
0.000 0.000 3.367
Ba Sb Pd
2 4 4
direct
0.000 0.000 0.000
0.500 0.500 0.000
0.156 0.344 0.500
0.344 0.844 0.500
0.656 0.156 0.500
0.844 0.656 0.500
0.120 0.620 0.000
0.380 0.120 0.000
0.620 0.880 0.000
0.880 0.380 0.000
```

## Properties
VASP energy (eV/atom): -4.569
Magnetic moment (μB per formula unit): 0.0